AlZnSi2 (PBE-GGA, relaxed); space group = I4/mmm (139); ρ = 4.004 g/cm³; energy relative to the elements, uncorrected = 0.291 eV per atom
1.0
-1.949 1.949 4.053
1.949 -1.949 4.053
1.949 1.949 -4.053
Al Zn Si
1 1 2
Cartesian
0.000 0.000 0.000
0.000 0.000 4.053
1.949 0.000 2.027
0.000 1.949 2.027

NpCu3Cl2F6 (PBE-GGA, relaxed); space group = C2/m (12); ρ = 4.308 g/cm³; energy relative to the elements, uncorrected = -1.956 eV per atom
1.0
7.718 -3.010 0.000
7.718 3.010 0.000
-0.367 0.000 5.083
Np Cu Cl F
1 3 2 6
Cartesian
0.000 0.000 0.000
3.859 1.505 0.000
3.859 -1.505 0.000
7.534 0.000 2.541
4.512 0.000 1.388
10.556 0.000 3.694
1.535 0.000 4.245
6.765 1.438 3.712
8.303 1.438 1.371
6.765 -1.438 3.712
8.303 -1.438 1.371
13.533 0.000 0.838

Ho4MgSc5 (PBE-GGA, relaxed); total DFT energy (no corrections) = -4.964 eV per atom; space group = I4mm (107); ρ = 5.415 g/cm³
1.0
-5.079 5.079 2.702
5.079 -5.079 2.702
5.079 5.079 -2.702
Ho Mg Sc
4 1 5
Cartesian
3.227 0.000 0.000
6.930 0.000 0.000
0.000 3.227 0.000
0.000 6.930 0.000
0.000 0.000 1.403
3.193 3.193 0.010
1.886 -1.886 2.712
-1.886 1.886 2.712
1.886 1.886 2.712
0.000 0.000 4.181

CoPd3 (PBE-GGA, relaxed); total DFT energy (no corrections) = -5.537 eV per atom; space group = Fm-3m (225); ρ = 10.677 g/cm³
1.0
0.000 3.087 3.087
3.087 0.000 3.087
3.087 3.087 0.000
Co Pd
1 3
Cartesian
0.000 0.000 0.000
1.543 1.543 1.543
3.087 3.087 3.087
4.630 4.630 4.630

GaFeCo (PBE-GGA, relaxed); total DFT energy (no corrections) = -6.281 eV per atom; space group = P3m1 (156); ρ = 8.368 g/cm³
1.0
4.033 0.000 0.000
-2.016 3.492 0.000
0.000 0.000 2.600
Ga Fe Co
1 1 1
Cartesian
0.000 0.000 0.000
0.000 2.328 1.582
2.016 1.164 0.836

YAlAu (PBE-GGA, relaxed); total DFT energy (no corrections) = -5.248 eV per atom; space group = P4/nmm (129); ρ = 8.064 g/cm³
1.0
4.264 0.000 0.000
0.000 4.264 0.000
0.000 0.000 7.087
Y Al Au
2 2 2
Cartesian
1.066 1.066 1.144
3.198 3.198 5.943
1.066 3.198 3.544
3.198 1.066 3.544
1.066 1.066 5.193
3.198 3.198 1.895

CaBeBr2 (PBE-GGA, relaxed); space group = C2/m (12); ρ = 2.979 g/cm³; energy relative to the elements, uncorrected = -0.404 eV per atom
1.0
3.640 -4.297 0.000
3.640 4.297 0.000
-2.719 0.000 3.722
Ca Be Br
1 1 2
Cartesian
0.000 0.000 0.000
3.640 0.000 0.000
0.461 2.149 1.861
0.461 -2.149 1.861

Dy3ZnNi8 (PBE-GGA, relaxed); total DFT energy (no corrections) = -5.535 eV per atom; space group = R3m (160); ρ = 9.701 g/cm³
1.0
2.488 1.437 8.161
-2.488 1.437 8.161
0.000 -2.873 8.161
Dy Zn Ni
3 1 8
Cartesian
0.000 0.000 0.000
0.000 0.000 3.157
0.000 0.000 12.606
0.000 0.000 15.580
-1.252 -0.723 9.812
0.000 -1.422 5.774
-1.232 0.711 5.774
0.000 0.000 7.785
1.232 0.711 5.774
1.252 -0.723 9.812
0.000 1.446 9.812
0.000 0.000 20.035

CrReHg (PBE-GGA, relaxed); total DFT energy (no corrections) = -6.732 eV per atom; space group = P3m1 (156); ρ = 15.250 g/cm³
1.0
4.436 0.000 0.000
-2.218 3.842 0.000
0.000 0.000 2.804
Cr Re Hg
1 1 1
Cartesian
0.000 0.000 0.000
0.000 2.561 2.276
2.218 1.281 1.007

Mg2AgMo (PBE-GGA, relaxed); total DFT energy (no corrections) = -3.499 eV per atom; space group = I-42d (122); ρ = 5.441 g/cm³
1.0
-3.660 3.660 2.875
3.660 -3.660 2.875
3.660 3.660 -2.875
Mg Ag Mo
4 2 2
Cartesian
5.491 1.718 -0.719
1.718 1.830 0.719
-1.830 1.942 2.156
1.942 1.830 3.593
0.000 0.000 0.000
0.000 3.660 1.437
3.660 0.000 1.437
0.000 0.000 2.875

Ce2HoNi9 (PBE-GGA, relaxed); total DFT energy (no corrections) = -6.105 eV per atom; space group = R-3m (166); ρ = 9.333 g/cm³
1.0
2.465 1.423 8.228
-2.465 1.423 8.228
0.000 -2.846 8.228
Ce Ho Ni
2 1 9
Cartesian
0.000 0.000 3.416
0.000 0.000 21.267
0.000 0.000 0.000
-1.233 -0.712 10.243
0.000 0.000 8.216
0.000 -1.423 14.441
-1.232 0.712 14.441
0.000 0.000 12.342
1.233 -0.712 10.243
0.000 1.423 10.243
0.000 0.000 16.467
1.233 0.712 14.441

HfPa2Ir (PBE-GGA, relaxed); total DFT energy (no corrections) = -9.347 eV per atom; space group = R-3m (166); ρ = 15.780 g/cm³
1.0
1.539 0.888 10.686
-1.539 0.888 10.686
0.000 -1.777 10.686
Hf Pa Ir
1 2 1
Cartesian
0.000 0.000 0.000
0.000 0.000 2.965
0.000 0.000 29.093
0.000 0.000 16.029

Co2As (PBE-GGA, relaxed); total DFT energy (no corrections) = -6.285 eV per atom; space group = I4_1/amd (141); ρ = 8.926 g/cm³
1.0
-1.753 1.753 11.667
1.753 -1.753 11.667
1.753 1.753 -11.667
Co As
8 4
Cartesian
1.753 -0.877 6.864
1.753 0.877 -2.934
1.753 -0.877 10.636
0.000 0.877 2.899
1.753 0.877 8.768
0.000 2.630 1.031
0.000 0.877 14.601
0.000 2.630 4.803
1.753 0.877 1.240
1.753 0.877 4.593
0.000 0.877 7.073
0.000 0.877 10.427

K3PrHo2S6 (PBE-GGA, relaxed); space group = C2/m (12); ρ = 4.019 g/cm³; energy relative to the elements, uncorrected = -1.869 eV per atom
1.0
3.551 -6.150 0.000
3.551 6.150 0.000
-2.369 0.000 7.383
K Pr Ho S
3 1 2 6
Cartesian
0.000 0.000 0.000
3.551 2.036 0.000
3.551 -2.036 0.000
2.366 0.000 3.691
2.366 4.098 3.691
2.366 -4.098 3.691
1.143 2.119 2.191
-0.081 0.000 5.192
1.143 -2.119 2.191
3.589 2.119 5.192
4.813 0.000 2.190
3.589 -2.119 5.192

Bi3IrO6F2 (PBE-GGA, relaxed); space group = C2/m (12); ρ = 8.354 g/cm³; energy relative to the elements, uncorrected = -1.144 eV per atom
1.0
5.856 -3.301 0.000
5.856 3.301 0.000
-0.306 0.000 4.901
Bi Ir O F
3 1 6 2
Cartesian
0.000 0.000 0.000
2.775 1.650 2.451
2.775 -1.650 2.451
5.703 0.000 2.451
4.806 1.515 3.501
6.600 1.515 1.401
4.017 0.000 1.397
7.389 0.000 3.505
4.806 -1.515 3.501
6.600 -1.515 1.401
1.857 0.000 3.957
9.549 0.000 0.945

Er5In2Sb (PBE-GGA, relaxed); space group = I4/mcm (140); ρ = 8.925 g/cm³; energy relative to the elements, uncorrected = -0.510 eV per atom
1.0
-4.156 4.156 6.398
4.156 -4.156 6.398
4.156 4.156 -6.398
Er In Sb
10 4 2
Cartesian
0.000 0.000 0.000
5.435 1.279 -1.938
1.279 2.877 -1.938
5.435 1.279 1.938
1.279 2.877 1.938
0.000 0.000 6.398
2.877 1.279 4.460
-1.279 2.877 4.460
2.877 1.279 8.336
-1.279 2.877 8.336
2.951 1.205 0.000
2.951 -1.205 6.398
1.205 5.361 0.000
1.205 2.951 6.398
0.000 0.000 3.199
0.000 0.000 9.596

Ta2TePt (PBE-GGA, relaxed); space group = Immm (71); ρ = 15.479 g/cm³; energy relative to the elements, uncorrected = 0.018 eV per atom
1.0
-1.859 2.270 4.349
1.859 -2.270 4.349
1.859 2.270 -4.349
Ta Te Pt
2 1 1
Cartesian
0.000 0.000 2.135
0.000 0.000 6.564
1.859 0.000 0.000
0.000 2.270 0.000

Sm3YCo (PBE-GGA, relaxed); total DFT energy (no corrections) = -5.553 eV per atom; space group = Pmn2_1 (31); ρ = 6.587 g/cm³
1.0
7.541 0.000 0.000
0.000 6.457 0.000
0.000 0.000 6.202
Sm Y Co
6 2 2
Cartesian
0.000 0.978 6.201
1.878 2.106 3.101
1.892 4.351 0.000
3.770 5.478 3.100
5.649 4.351 0.000
5.663 2.106 3.101
0.000 5.430 3.109
3.770 1.027 0.008
0.000 3.235 1.539
3.770 3.222 4.640

Ba4CdGaI2 (PBE-GGA, relaxed); space group = P2/m (10); ρ = 4.511 g/cm³; energy relative to the elements, uncorrected = -0.796 eV per atom
1.0
8.382 0.000 0.000
0.000 4.739 0.000
-2.673 0.000 9.130
Ba Cd Ga I
4 1 1 2
Cartesian
1.372 0.000 2.074
0.003 2.369 7.021
5.706 2.369 2.110
4.336 0.000 7.057
4.191 0.000 0.000
0.000 2.369 0.000
-1.337 0.000 4.565
2.854 2.369 4.565

BeV5Re (PBE-GGA, relaxed); total DFT energy (no corrections) = -8.630 eV per atom; space group = P4/mmm (123); ρ = 7.559 g/cm³
1.0
4.033 0.000 0.000
0.000 4.033 0.000
0.000 0.000 6.076
Be V Re
1 5 1
Cartesian
0.000 0.000 0.000
0.000 2.017 1.535
0.000 2.017 4.541
2.017 0.000 1.535
2.017 0.000 4.541
2.017 2.017 0.000
2.017 2.017 3.038

Pm2HfO (PBE-GGA, relaxed); space group = R-3m (166); ρ = 8.623 g/cm³; energy relative to the elements, uncorrected = -0.911 eV per atom
1.0
1.727 0.997 9.031
-1.727 0.997 9.031
0.000 -1.994 9.031
Pm Hf O
2 1 1
Cartesian
0.000 0.000 3.090
0.000 0.000 24.004
0.000 0.000 0.000
0.000 0.000 13.547

YIn2Ni (PBE-GGA, relaxed); total DFT energy (no corrections) = -4.649 eV per atom; space group = Fmmm (69); ρ = 6.506 g/cm³
1.0
0.000 2.695 6.642
2.690 0.000 6.642
2.690 2.695 0.000
Y In Ni
1 2 1
Cartesian
0.000 0.000 0.000
2.690 2.695 4.111
2.690 2.695 9.173
2.690 2.695 6.642

Sr2Al (PBE-GGA, relaxed); total DFT energy (no corrections) = -2.287 eV per atom; space group = Pnnm (58); ρ = 2.488 g/cm³
1.0
8.094 0.000 0.000
0.000 8.114 0.000
0.000 0.000 4.111
Sr Al
4 2
Cartesian
1.332 1.844 0.000
2.715 5.901 2.056
5.379 2.212 2.056
6.762 6.269 0.000
0.000 4.057 2.056
4.047 0.000 0.000

YMn2CuI (PBE-GGA, relaxed); space group = P4/mmm (123); ρ = 3.684 g/cm³; energy relative to the elements, uncorrected = 1.339 eV per atom
1.0
5.543 0.000 0.000
0.000 5.543 0.000
0.000 0.000 5.712
Y Mn Cu I
1 2 1 1
Cartesian
0.000 0.000 0.000
0.000 2.771 0.000
2.771 0.000 0.000
2.771 2.771 2.856
0.000 0.000 2.856

Ac4PrSe5 (PBE-GGA, relaxed); space group = Immm (71); ρ = 7.806 g/cm³; energy relative to the elements, uncorrected = -1.852 eV per atom
1.0
-2.215 3.134 11.059
2.215 -3.134 11.059
2.215 3.134 -11.059
Ac Pr Se
4 1 5
Cartesian
0.000 0.000 2.194
0.000 0.000 6.683
0.000 0.000 15.436
0.000 0.000 19.924
0.000 0.000 11.059
2.215 0.000 0.000
2.215 0.000 4.437
2.215 0.000 8.939
0.000 3.134 2.120
0.000 3.134 6.622